The following is a PBE calculation of an optimized crystal structure of PuCuSbH, from Alexandria.

Results
* space group: P3m1 (156)
* electronic total energy: -6.893 eV/atom

a = 4.315 Å, b = 4.315 Å, c = 4.323 Å
α = 90.00°, β = 90.00°, γ = 120.00°
Fractional positions:
Pu 0.000 0.000 0.000
Cu 0.667 0.333 0.588
Sb 0.333 0.667 0.466
H 0.667 0.333 0.975